16
Lattice="6.589 0.041 -0.107 -1.884 6.314 -0.107 -2.083 -2.813 7.579" Properties=species:S:1:pos:R:3 comment="KUPbO5, relaxed, DFT PBE-GGA" raw_formation_energy_ev_per_atom=-2.183 mass_density_g_cm3=6.0 crystal_system=monoclinic pbc="T T T"
K 0.295 3.612 1.787
K 2.327 -0.070 5.577
U -1.041 -1.407 3.789
U 0.000 0.000 0.000
Pb 3.413 1.304 1.787
Pb -0.790 2.238 5.577
O -2.036 5.338 1.787
O 4.658 -1.796 5.577
O 5.224 1.509 0.475
O -2.602 2.034 6.889
O 3.746 -0.488 3.099
O -1.124 4.030 4.265
O 2.915 3.165 2.891
O -0.292 0.377 4.473
O 1.488 1.237 0.684
O 1.135 2.305 6.680